Record 1
LiTaWO6 at its PBEsol-relaxed geometry. Source: the Alexandria database, functional SCAN.

Calculated values
- DOS(E_F): 0.0 states/eV/f.u.
- Distance to the lowest polymorph of the same formula: 0.000 eV per atom
- Symmetry: P4_122, No. 91
- Formation energy without anion corrections: -244 kJ per mole of atoms

Geometry as extended XYZ:
```
36
Lattice="7.364 0.000 0.000 0.000 7.364 0.000 0.000 0.000 10.320" Properties=species:S:1:pos:R:3 pbc="T T T"
Li 0.000 2.678 0.000
Li 0.000 4.686 5.160
Li 2.678 0.000 7.740
Li 4.686 0.000 2.580
Ta 0.000 1.791 5.160
Ta 0.000 5.573 0.000
Ta 1.791 0.000 2.580
Ta 5.573 0.000 7.740
W 1.843 3.682 2.580
W 3.682 1.843 5.160
W 3.682 5.520 0.000
W 5.520 3.682 7.740
O 0.440 0.440 3.870
O 0.440 6.924 1.290
O 0.497 3.292 3.910
O 0.497 4.072 1.250
O 1.815 1.886 1.969
O 1.815 5.478 3.191
O 1.886 1.815 5.771
O 1.886 5.549 9.710
O 3.163 3.163 3.870
O 3.163 4.201 1.290
O 3.292 0.497 3.830
O 3.292 6.867 1.330
O 4.072 0.497 6.490
O 4.072 6.867 8.990
O 4.201 3.163 6.450
O 4.201 4.201 9.030
O 5.478 1.815 4.550
O 5.478 5.549 0.611
O 5.549 1.886 8.351
O 5.549 5.478 7.130
O 6.867 3.292 6.410
O 6.867 4.072 9.071
O 6.924 0.440 6.450
O 6.924 6.924 9.030
```


Record 2
Mn2TlW at its PBEsol-relaxed geometry. Source: the Alexandria database, functional SCAN.

Calculated values
- DOS(E_F): 2.3 states/eV/f.u.
- Distance to the lowest polymorph of the same formula: 0.000 eV per atom
- Symmetry: Imm2, No. 44

Geometry as extended XYZ:
```
4
Lattice="-1.584 2.159 4.345 1.584 -2.159 4.345 1.584 2.159 -4.345" Properties=species:S:1:pos:R:3 pbc="T T T"
Mn 0.000 0.000 0.000
Mn 0.000 2.159 2.268
Tl 1.584 0.000 2.289
W 0.000 0.000 4.670
```


Record 3
As2PPtBr at its PBEsol-relaxed geometry. Source: the Alexandria database, functional SCAN.

Calculated values
- DOS(E_F): 5.1 states/eV/f.u.
- Symmetry: P4/mmm, No. 123
- Formation energy without anion corrections: 85 kJ per mole of atoms

Geometry as extended XYZ:
```
5
Lattice="4.822 0.000 0.000 0.000 4.822 0.000 0.000 0.000 4.952" Properties=species:S:1:pos:R:3 pbc="T T T"
As 0.000 2.411 0.000
As 2.411 0.000 0.000
P 0.000 0.000 2.476
Pt 2.411 2.411 0.000
Br 2.411 2.411 2.476
```